Record 1
An optimized crystal structure of MgCd2. Source: Alexandria, functional PBE-GGA.

Summary:
Mass density   6238 kg/m³
Symmetry   Amm2, No. 38
Magnetic moment   0.000 μB/atom
N(E_F)   2.2 states/eV per cell
E_tot   -1.181 eV per atom

Cell: 8.1881 8.1881 4.9935 Å, 90.00 90.00 156.66°
Sites, in units of the cell vectors:
Cd1 0.4438 0.5562 0.5000
Cd2 0.6665 0.3335 0.0000
Cd3 0.3316 0.6684 0.0000
Cd4 0.0001 0.9999 0.0000
Mg1 0.7807 0.2193 0.5000
Mg2 0.1106 0.8894 0.5000

Record 2
An optimized crystal structure of LiCePmSb. Source: Alexandria, functional PBE-GGA.

Summary:
Mass density   6369 kg/m³
Energy relative to the elements, uncorrected   -0.416 eV/atom
Symmetry   F-43m, No. 216
Magnetic moment   0.414 μB/atom
N(E_F)   10.0 states/eV per cell

Cell: 5.3437 5.3437 5.3437 Å, 60.00 60.00 60.00°
Each line ends with the local moment (μB).
Sites, in units of the cell vectors:
Sb1 0.5000 0.5000 0.5000  -0.01
Pm1 0.7500 0.7500 0.7500  0.18
Li1 0.0000 0.0000 0.0000  0.02
Ce1 0.2500 0.2500 0.2500  1.00

Record 3
An optimized crystal structure of MgV3Hg. Source: Alexandria, functional PBE-GGA.

Summary:
Mass density   4760 kg/m³
Symmetry   Pm-3m, No. 221
Magnetic moment   1.976 μB/atom
N(E_F)   13.6 states/eV per cell
E above lowest polymorph   0 meV per atom

Cell: 5.0885 5.0885 5.0885 Å, 90.00 90.00 90.00°
Each line ends with the local moment (μB).
Sites, in units of the cell vectors:
V1 0.0000 0.5000 0.0000  2.61
V2 0.5000 0.0000 0.0000  2.61
V3 0.0000 0.0000 0.5000  2.61
Hg1 0.0000 0.0000 0.0000  0.14
Mg1 0.5000 0.5000 0.5000  -0.01

Record 4
An optimized crystal structure of Li3ScHg6. Source: Alexandria, functional PBE-GGA.

Summary:
Mass density   10428 kg/m³
Symmetry   P2_1/m, No. 11
Magnetic moment   0.000 μB/atom
N(E_F)   10.0 states/eV per cell
E_tot   -1.692 eV per atom

Cell: 4.7295 8.6520 10.1145 Å, 102.39 90.00 90.00°
Sites, in units of the cell vectors:
Li1 0.2500 0.3503 0.8086
Li2 0.2500 0.5443 0.3974
Li3 0.7500 0.6497 0.1914
Li4 0.7500 0.2488 0.0279
Li5 0.2500 0.7512 0.9721
Li6 0.7500 0.4557 0.6026
Hg1 0.7500 0.5167 0.9010
Hg2 0.7500 0.9237 0.0954
Hg3 0.2500 0.6121 0.6809
Hg4 0.2500 0.8323 0.2981
Hg5 0.2500 0.4833 0.0990
Hg6 0.2500 0.0763 0.9046
Hg7 0.2500 0.2552 0.5250
Hg8 0.2500 0.1656 0.2068
Hg9 0.7500 0.7448 0.4750
Hg10 0.7500 0.1677 0.7019
Hg11 0.7500 0.8344 0.7932
Hg12 0.7500 0.3879 0.3191
Sc1 0.7500 0.0633 0.3894
Sc2 0.2500 0.9367 0.6106

Record 5
An optimized crystal structure of TcPtRh3. Source: Alexandria, functional PBE-GGA.

Summary:
Mass density   10294 kg/m³
Symmetry   Pm-3m, No. 221
Magnetic moment   0.000 μB/atom
N(E_F)   6.5 states/eV per cell
E above lowest polymorph   1445 meV per atom

Cell: 4.5960 4.5960 4.5960 Å, 90.00 90.00 90.00°
Sites, in units of the cell vectors:
Rh1 0.0000 0.5000 0.0000
Rh2 0.0000 0.0000 0.5000
Rh3 0.5000 0.0000 0.0000
Tc1 0.0000 0.0000 0.0000
Pt1 0.5000 0.5000 0.5000

Record 6
An optimized crystal structure of KBeMo2. Source: Alexandria, functional PBE-GGA.

Summary:
Mass density   4652 kg/m³
Symmetry   Cm, No. 8
Magnetic moment   0.000 μB/atom
N(E_F)   2.5 states/eV per cell
E_tot   -5.794 eV per atom

Cell: 4.5102 4.5102 7.4874 Å, 88.11 88.11 34.25°
Sites, in units of the cell vectors:
K1 0.2426 0.2426 0.2573
Be1 0.4904 0.4904 0.6173
Mo1 0.7603 0.7603 0.7294
Mo2 0.0067 0.0067 0.8961

Record 7
An optimized crystal structure of Na4IBrO. Source: Alexandria, functional PBE-GGA.

Summary:
Mass density   3110 kg/m³
Energy relative to the elements, uncorrected   -1.341 eV/atom
Symmetry   Cmcm, No. 63
Magnetic moment   0.016 μB/atom
N(E_F)   0.0 states/eV per cell

Cell: 6.5450 6.5552 8.4894 Å, 90.00 112.67 90.00°
Each line ends with the local moment (μB).
Sites, in units of the cell vectors:
Na1 0.0000 0.5000 0.5000  0.00
Na2 0.5000 0.5000 0.5000  0.00
Na3 0.3998 0.7500 0.7996  0.00
Na4 0.1068 0.7500 0.2136  0.00
Na5 0.8932 0.2500 0.7864  0.00
Na6 0.5000 0.0000 0.5000  0.00
Na7 0.6002 0.2500 0.2004  0.00
Na8 0.0000 0.0000 0.5000  0.00
Br1 0.3984 0.2500 0.7968  0.00
Br2 0.6016 0.7500 0.2032  0.00
O1 0.7478 0.2500 0.4957  0.08
O2 0.2522 0.7500 0.5043  0.08
I1 0.9051 0.7500 0.8102  0.00
I2 0.0949 0.2500 0.1898  0.00

Record 8
An optimized crystal structure of ZrAlTlO4. Source: Alexandria, functional PBE-GGA.

Summary:
Mass density   5426 kg/m³
Energy relative to the elements, uncorrected   -2.514 eV/atom
Symmetry   P2_1/m, No. 11
Magnetic moment   0.000 μB/atom
N(E_F)   0.0 states/eV per cell

Cell: 5.5009 5.6831 9.1839 Å, 90.00 124.49 90.00°
Sites, in units of the cell vectors:
O1 0.4790 0.2500 0.4335
O2 0.0380 0.4788 0.6525
O3 0.6375 0.2500 0.7624
O4 0.9620 0.5212 0.3475
O5 0.5210 0.7500 0.5665
O6 0.3625 0.7500 0.2376
O7 0.0380 0.0212 0.6525
O8 0.9620 0.9788 0.3475
Tl1 0.3676 0.2500 0.1301
Tl2 0.6324 0.7500 0.8699
Zr1 0.2110 0.2500 0.5323
Zr2 0.7890 0.7500 0.4677
Al1 0.8126 0.2500 0.6515
Al2 0.1874 0.7500 0.3485

Record 9
An optimized crystal structure of Li4Mg3. Source: Alexandria, functional PBE-GGA.

Summary:
Mass density   1049 kg/m³
Symmetry   P6/mmm, No. 191
Magnetic moment   0.000 μB/atom
N(E_F)   2.3 states/eV per cell
E above lowest polymorph   71 meV per atom

Cell: 5.8349 5.8349 5.4034 Å, 90.00 90.00 120.00°
Sites, in units of the cell vectors:
Mg1 0.5000 0.0000 0.0000
Mg2 0.0000 0.5000 0.0000
Mg3 0.5000 0.5000 0.0000
Li1 0.0000 0.0000 0.7502
Li2 0.3333 0.6667 0.5000
Li3 0.0000 0.0000 0.2498
Li4 0.6667 0.3333 0.5000

Record 10
An optimized crystal structure of TiBeGe3. Source: Alexandria, functional PBE-GGA.

Summary:
Mass density   3896 kg/m³
Symmetry   Pm-3m, No. 221
Magnetic moment   0.000 μB/atom
N(E_F)   2.1 states/eV per cell
E above lowest polymorph   242 meV per atom

Cell: 4.8926 4.8926 4.8926 Å, 90.00 90.00 90.00°
Sites, in units of the cell vectors:
Ge1 0.5000 0.0000 0.0000
Ge2 0.0000 0.5000 0.0000
Ge3 0.0000 0.0000 0.5000
Ti1 0.0000 0.0000 0.0000
Be1 0.5000 0.5000 0.5000

Record 11
An optimized crystal structure of Er2Si4Mo3. Source: Alexandria, functional PBE-GGA.

Summary:
Mass density   8134 kg/m³
Energy relative to the elements, uncorrected   -0.694 eV/atom
Symmetry   P2_1/c, No. 14
Magnetic moment   0.000 μB/atom
N(E_F)   8.5 states/eV per cell

Cell: 6.8987 6.7217 6.8375 Å, 71.10 90.00 90.00°
Sites, in units of the cell vectors:
Er1 0.1701 0.0615 0.8094
Er2 0.6701 0.4385 0.1906
Er3 0.3299 0.5615 0.8094
Er4 0.8299 0.9385 0.1906
Mo1 0.0000 0.5000 0.5000
Mo2 0.8372 0.7487 0.7515
Mo3 0.3372 0.7513 0.2485
Mo4 0.5000 0.0000 0.5000
Mo5 0.6628 0.2487 0.7515
Mo6 0.1628 0.2513 0.2485
Si1 0.8685 0.1285 0.5038
Si2 0.1315 0.8715 0.4962
Si3 0.9561 0.3667 0.9107
Si4 0.4561 0.1333 0.0893
Si5 0.0439 0.6333 0.0893
Si6 0.3685 0.3715 0.4962
Si7 0.5439 0.8667 0.9107
Si8 0.6315 0.6285 0.5038

Record 12
An optimized crystal structure of LaPm2ThS4. Source: Alexandria, functional PBE-GGA.

Summary:
Mass density   6910 kg/m³
Energy relative to the elements, uncorrected   -2.013 eV/atom
Symmetry   P2/m, No. 10
Magnetic moment   0.000 μB/atom
N(E_F)   3.4 states/eV per cell

Cell: 4.0450 7.0329 7.0636 Å, 109.30 90.00 90.00°
Sites, in units of the cell vectors:
S1 0.0000 0.7478 0.2540
S2 0.5000 0.7444 0.7440
S3 0.0000 0.2522 0.7460
S4 0.5000 0.2556 0.2560
Pm1 0.5000 0.0000 0.5000
Pm2 0.0000 0.5000 0.5000
La1 0.0000 0.0000 0.0000
Th1 0.5000 0.5000 0.0000